Material: HfTiZnTc
Method: DFT, PBE-GGA
State: relaxed

The formation enthalpy at 0 K comes out at -0.40 eV/atom.

The structure belongs to space group P4mm (No. 99); the cell edges are 3.239, 3.239 and 6.350 Å and the angles 90.00°, 90.00° and 90.00°. The asymmetric unit holds Hf at (0.000, 0.000, 0.000), Ti at (0.000, 0.000, 0.522), Zn at (0.500, 0.500, 0.282) and Tc at (0.500, 0.500, 0.746).